Material: B2PBr
Method: DFT, GGA-PBE
State: optimized geometry

The structure belongs to space group Fm-3m (No. 225); the cell edges are 5.9234, 5.9234 and 5.9234 Å and the angles 90.00°, 90.00° and 90.00°. The distinct sites, in fractional coordinates, are B at (0.2500, 0.2500, 0.2500), P at (0.0000, 0.0000, 0.0000) and Br at (0.0000, 0.0000, 0.5000).

The value obtained for the offset from the most stable computed form is 1262.3 meV per atom.